Version P
This record from Alexandria describes a relaxed structure of Ba2NaAu3. The functional is PBE.

Summary:
total magnetic moment = 0.0000 μB/atom

Cell: 6.5850 6.5850 9.6170 Å, 107.03 107.03 98.31°
Fractional coordinates of all 12 atoms:
Au 0.1676 0.1676 0.3352
Au 0.1679 0.6647 0.8327
Au 0.8324 0.8324 0.6648
Au 0.6647 0.1679 0.8327
Au 0.8321 0.3353 0.1673
Au 0.3353 0.8321 0.1673
Na 0.3342 0.3342 0.6683
Na 0.6658 0.6658 0.3317
Ba 0.2420 0.2420 0.0000
Ba 0.7580 0.7580 0.0000
Ba 0.2500 0.7500 0.5000
Ba 0.7500 0.2500 0.5000



Version Q
This record from Alexandria describes a relaxed structure of Ba2NaAu3. The functional is PBE.

Summary:
total magnetic moment = 0.0000 μB/atom

Cell: 4.4719 8.2564 20.7598 Å, 90.00 90.00 90.00°
Fractional coordinates of all 24 atoms:
Au 0.7500 0.7432 0.4646
Au 0.2500 0.6613 0.1825
Au 0.7500 0.4865 0.6910
Au 0.2500 0.2568 0.5354
Au 0.7500 0.3387 0.8175
Au 0.2500 0.7568 0.9646
Au 0.2500 0.0135 0.1910
Au 0.2500 0.1613 0.3175
Au 0.2500 0.5135 0.3090
Au 0.7500 0.9865 0.8090
Au 0.7500 0.2432 0.0354
Au 0.7500 0.8387 0.6825
Na 0.7500 0.5312 0.9399
Na 0.2500 0.4688 0.0601
Na 0.7500 0.0312 0.5601
Na 0.2500 0.9688 0.4399
Ba 0.2500 0.6393 0.5809
Ba 0.7500 0.8607 0.0809
Ba 0.7500 0.8342 0.2968
Ba 0.7500 0.3607 0.4191
Ba 0.2500 0.1393 0.9191
Ba 0.7500 0.3342 0.2032
Ba 0.2500 0.1658 0.7032
Ba 0.2500 0.6658 0.7968



On energetic grounds, version Q is preferred over the next structure by 19 meV per atom.



Version P
This record from Alexandria describes a relaxed structure of Ba3NaAu2. The functional is PBE.

Summary:
total magnetic moment = 0.0000 μB/atom

Cell: 4.3557 8.6763 8.6763 Å, 120.00 90.00 90.00°
Fractional coordinates of all 6 atoms:
Ba 0.5000 0.0000 0.5000
Ba 0.5000 0.5000 0.5000
Ba 0.5000 0.5000 0.0000
Na 0.0000 0.0000 0.0000
Au 0.0000 0.6667 0.3333
Au 0.0000 0.3333 0.6667



Version Q
This record from Alexandria describes a relaxed structure of Ba3NaAu2. The functional is PBE.

Summary:
total magnetic moment = 0.0000 μB/atom

Cell: 8.4370 9.5542 9.5542 Å, 47.84 63.80 63.80°
Fractional coordinates of all 12 atoms:
Au 0.1406 0.1582 0.5607
Au 0.8594 0.8418 0.4393
Au 0.3594 0.4393 0.8418
Au 0.6406 0.5607 0.1582
Ba 0.7500 0.5000 0.5000
Ba 0.5325 0.2175 0.2175
Ba 0.4675 0.7825 0.7825
Ba 0.0325 0.2175 0.2175
Ba 0.9675 0.7825 0.7825
Ba 0.2500 0.5000 0.5000
Na 0.5000 0.0000 0.0000
Na 0.0000 0.0000 0.0000



On energetic grounds, version Q is preferred over the next structure by 61 meV per atom.



Version P
This record from Alexandria describes a relaxed structure of Ba2NaAu2. The functional is PBE.

Summary:
total magnetic moment = 0.0000 μB/atom

Cell: 9.3900 9.3900 4.0083 Å, 90.00 90.00 90.00°
Fractional coordinates of all 10 atoms:
Ba 0.8498 0.6502 0.0000
Ba 0.1502 0.3498 0.0000
Ba 0.3498 0.8498 0.0000
Ba 0.6502 0.1502 0.0000
Au 0.1419 0.6419 0.5000
Au 0.3581 0.1419 0.5000
Au 0.6419 0.8581 0.5000
Au 0.8581 0.3581 0.5000
Na 0.0000 0.0000 0.0000
Na 0.5000 0.5000 0.0000



Version Q
This record from Alexandria describes a relaxed structure of Ba2NaAu2. The functional is PBE.

Summary:
total magnetic moment = 0.0000 μB/atom

Cell: 6.3678 6.3678 6.4366 Å, 60.35 60.35 90.00°
Fractional coordinates of all 5 atoms:
Ba 0.7500 0.2500 0.5000
Ba 0.2500 0.7500 0.5000
Au 0.6511 0.6511 0.6979
Au 0.3489 0.3489 0.3021
Na 0.0000 0.0000 0.0000



Version R
This record from Alexandria describes a relaxed structure of Ba2NaAu2. The functional is PBE.

Summary:
total magnetic moment = 0.0001 μB/atom

Cell: 5.0613 5.0613 9.3926 Å, 74.37 74.37 90.00°
Fractional coordinates of all 5 atoms:
Ba 0.6355 0.6355 0.7290
Ba 0.3645 0.3645 0.2710
Na 0.0000 0.0000 0.0000
Au 0.7500 0.2500 0.5000
Au 0.2500 0.7500 0.5000



Version S
This record from Alexandria describes a relaxed structure of Ba2NaAu2. The functional is PBE.

Summary:
total magnetic moment = 0.0000 μB/atom

Cell: 8.7806 8.7806 4.4882 Å, 90.00 90.00 90.00°
Fractional coordinates of all 10 atoms:
Au 0.3743 0.8743 0.0000
Au 0.8743 0.6257 0.0000
Au 0.1257 0.3743 0.0000
Au 0.6257 0.1257 0.0000
Ba 0.3320 0.1680 0.5000
Ba 0.6680 0.8320 0.5000
Ba 0.8320 0.3320 0.5000
Ba 0.1680 0.6680 0.5000
Na 0.0000 0.0000 0.0000
Na 0.5000 0.5000 0.0000



On energetic grounds, version S is preferred over the next structure by 154 meV per atom.



Version P
This record from Alexandria describes a relaxed structure of Ba5NaAu. The functional is PBE.

Summary:
total magnetic moment = 0.0000 μB/atom

Cell: 8.2514 8.2514 11.6456 Å, 96.54 96.54 95.24°
Fractional coordinates of all 14 atoms:
Na 0.4464 0.5536 0.2500
Na 0.5536 0.4464 0.7500
Ba 0.2032 0.3532 0.4882
Ba 0.6521 0.1045 0.3744
Ba 0.7968 0.6468 0.5118
Ba 0.8955 0.3479 0.1256
Ba 0.1045 0.6521 0.8744
Ba 0.1221 0.8779 0.2500
Ba 0.8779 0.1221 0.7500
Ba 0.3532 0.2032 0.9882
Ba 0.6468 0.7968 0.0118
Ba 0.3479 0.8955 0.6256
Au 0.0000 0.0000 0.5000
Au 0.0000 0.0000 0.0000



Version Q
This record from Alexandria describes a relaxed structure of Ba5NaAu. The functional is PBE.

Summary:
total magnetic moment = 0.0000 μB/atom

Cell: 8.3991 8.3991 13.6020 Å, 70.62 70.62 60.89°
Fractional coordinates of all 14 atoms:
Au 0.0000 0.0000 0.5000
Au 0.0000 0.0000 0.0000
Ba 0.6169 0.9677 0.6281
Ba 0.9628 0.0372 0.2500
Ba 0.4486 0.7973 0.9660
Ba 0.3831 0.0323 0.3719
Ba 0.7973 0.4486 0.4660
Ba 0.0323 0.3831 0.8719
Ba 0.9677 0.6169 0.1281
Ba 0.5514 0.2027 0.0340
Ba 0.0372 0.9628 0.7500
Ba 0.2027 0.5514 0.5340
Na 0.4788 0.5212 0.2500
Na 0.5212 0.4788 0.7500



On energetic grounds, version P is preferred over the next structure by 25 meV per atom.



Version P
This record from Alexandria describes a relaxed structure of BaNa2Au2. The functional is PBE.

Summary:
total magnetic moment = 0.0000 μB/atom

Cell: 4.5076 4.5076 7.1919 Å, 90.00 90.00 90.00°
Fractional coordinates of all 5 atoms:
Ba 0.0000 0.0000 0.0000
Au 0.5000 0.5000 0.8000
Au 0.5000 0.5000 0.2000
Na 0.0000 0.5000 0.5000
Na 0.5000 0.0000 0.5000



Version Q
This record from Alexandria describes a relaxed structure of BaNa2Au2. The functional is PBE.

Summary:
total magnetic moment = 0.0000 μB/atom

Cell: 8.2203 8.2203 4.5241 Å, 90.00 90.00 90.00°
Fractional coordinates of all 10 atoms:
Ba 0.0000 0.0000 0.0000
Ba 0.5000 0.5000 0.0000
Au 0.6216 0.1216 0.0000
Au 0.1216 0.3784 0.0000
Au 0.3784 0.8784 0.0000
Au 0.8784 0.6216 0.0000
Na 0.6482 0.8518 0.5000
Na 0.1482 0.6482 0.5000
Na 0.8518 0.3518 0.5000
Na 0.3518 0.1482 0.5000



Version R
This record from Alexandria describes a relaxed structure of BaNa2Au2. The functional is PBE.

Summary:
total magnetic moment = 0.0000 μB/atom

Cell: 8.6387 8.6387 3.5596 Å, 90.00 90.00 90.00°
Fractional coordinates of all 10 atoms:
Au 0.1818 0.6818 0.5000
Au 0.8182 0.3182 0.5000
Au 0.3182 0.1818 0.5000
Au 0.6818 0.8182 0.5000
Ba 0.0000 0.0000 0.0000
Ba 0.5000 0.5000 0.0000
Na 0.1160 0.3840 0.0000
Na 0.8840 0.6160 0.0000
Na 0.3840 0.8840 0.0000
Na 0.6160 0.1160 0.0000



Version S
This record from Alexandria describes a relaxed structure of BaNa2Au2. The functional is PBE.

Summary:
total magnetic moment = 0.0000 μB/atom

Cell: 4.5198 4.5198 7.7873 Å, 73.13 73.13 90.00°
Fractional coordinates of all 5 atoms:
Na 0.2500 0.7500 0.5000
Na 0.7500 0.2500 0.5000
Ba 0.0000 0.0000 0.0000
Au 0.3994 0.3994 0.2012
Au 0.6006 0.6006 0.7988



On energetic grounds, version S is preferred over the next structure by 11 meV per atom.



Version P
This record from Alexandria describes a relaxed structure of Ba2NaSrAu. The functional is PBE.

Summary:
total magnetic moment = 0.0000 μB/atom

Cell: 6.4562 6.4562 5.9408 Å, 90.00 90.00 90.00°
Fractional coordinates of all 5 atoms:
Ba 0.0000 0.5000 0.0000
Ba 0.5000 0.0000 0.0000
Au 0.0000 0.0000 0.0000
Sr 0.5000 0.5000 0.5000
Na 0.0000 0.0000 0.5000



Version Q
This record from Alexandria describes a relaxed structure of Ba2NaSrAu. The functional is PBE.

Summary:
total magnetic moment = 0.0000 μB/atom

Cell: 6.4730 6.4730 6.2120 Å, 90.00 90.00 90.00°
Fractional coordinates of all 5 atoms:
Au 0.0000 0.0000 0.0000
Na 0.5000 0.5000 0.5000
Ba 0.0000 0.5000 0.0000
Ba 0.5000 0.0000 0.0000
Sr 0.0000 0.0000 0.5000



On energetic grounds, version Q is preferred over the next structure by 87 meV per atom.



Version P
This record from Alexandria describes a relaxed structure of BaNaZnAu2. The functional is PBE.

Summary:
total magnetic moment = 0.0000 μB/atom

Cell: 5.1438 5.1438 5.1190 Å, 90.00 90.00 90.00°
Fractional coordinates of all 5 atoms:
Na 0.0000 0.0000 0.5000
Au 0.5000 0.0000 0.0000
Au 0.0000 0.5000 0.0000
Zn 0.0000 0.0000 0.0000
Ba 0.5000 0.5000 0.5000



Version Q
This record from Alexandria describes a relaxed structure of BaNaZnAu2. The functional is PBE.

Summary:
total magnetic moment = 0.0000 μB/atom

Cell: 4.4786 4.4786 7.1534 Å, 108.24 108.24 90.00°
Fractional coordinates of all 5 atoms:
Na 0.2500 0.7500 0.5000
Ba 0.0000 0.0000 0.0000
Au 0.6123 0.6123 0.2245
Au 0.3877 0.3877 0.7755
Zn 0.7500 0.2500 0.5000



On energetic grounds, version Q is preferred over the next structure by 164 meV per atom.



Version P
This record from Alexandria describes a relaxed structure of BaNbAu3. The functional is PBE.

Summary:
total magnetic moment = 0.0000 μB/atom

Cell: 5.6582 5.6582 5.6582 Å, 90.00 90.00 90.00°
Fractional coordinates of all 5 atoms:
Au 0.0000 0.0000 0.5000
Au 0.0000 0.5000 0.0000
Au 0.5000 0.0000 0.0000
Nb 0.5000 0.5000 0.5000
Ba 0.0000 0.0000 0.0000



Version Q
This record from Alexandria describes a relaxed structure of BaNbAu3. The functional is PBE.

Summary:
total magnetic moment = 0.0000 μB/atom

Cell: 5.2492 5.2492 5.2492 Å, 90.00 90.00 90.00°
Fractional coordinates of all 5 atoms:
Nb 0.0000 0.0000 0.0000
Au 0.0000 0.5000 0.0000
Au 0.0000 0.0000 0.5000
Au 0.5000 0.0000 0.0000
Ba 0.5000 0.5000 0.5000



On energetic grounds, version Q is preferred over the next structure by 1658 meV per atom.



Version P
This record from Alexandria describes a relaxed structure of BaNbAu. The functional is PBE.

Summary:
total magnetic moment = 0.0000 μB/atom

Cell: 7.6307 4.7987 9.4931 Å, 90.00 90.00 90.00°
Fractional coordinates of all 12 atoms:
Ba 0.0829 0.2500 0.8443
Ba 0.9171 0.7500 0.1557
Ba 0.5829 0.2500 0.6557
Ba 0.4171 0.7500 0.3443
Au 0.7175 0.2500 0.3177
Au 0.7825 0.7500 0.8177
Au 0.2825 0.7500 0.6823
Au 0.2175 0.2500 0.1823
Nb 0.9660 0.7500 0.5474
Nb 0.5340 0.2500 0.0474
Nb 0.0340 0.2500 0.4526
Nb 0.4660 0.7500 0.9526



Version Q
This record from Alexandria describes a relaxed structure of BaNbAu. The functional is PBE.

Summary:
total magnetic moment = 0.0000 μB/atom

Cell: 5.2663 3.3874 9.4849 Å, 69.10 90.00 90.00°
Fractional coordinates of all 6 atoms:
Ba 0.5007 0.7220 0.2599
Ba 0.0007 0.9855 0.9969
Au 0.5040 0.6339 0.8484
Au 0.0040 0.0738 0.4084
Nb 0.2540 0.3473 0.6343
Nb 0.7541 0.3604 0.6225



Version R
This record from Alexandria describes a relaxed structure of BaNbAu. The functional is PBE.

Summary:
total magnetic moment = 1.5538 μB/atom

Cell: 5.3596 5.3596 13.4944 Å, 90.00 90.00 120.00°
Each line ends with the local moment (μB).
Fractional coordinates of all 6 atoms:
Au 0.3333 0.6667 0.2500  0.03
Au 0.6667 0.3333 0.7500  0.03
Nb 0.0000 0.0000 0.0000  3.06
Nb 0.0000 0.0000 0.5000  3.06
Ba 0.0000 0.0000 0.2500  0.13
Ba 0.0000 0.0000 0.7500  0.13



Version S
This record from Alexandria describes a relaxed structure of BaNbAu. The functional is PBE.

Summary:
total magnetic moment = 0.0000 μB/atom

Cell: 3.5250 13.4022 3.5250 Å, 97.49 90.07 82.31°
Fractional coordinates of all 6 atoms:
Nb 0.0101 0.2615 0.3825
Nb 0.5620 0.1608 0.8324
Ba 0.7146 0.8612 0.6839
Ba 0.8573 0.5611 0.5309
Au 0.4466 0.3864 0.9443
Au 0.1255 0.0359 0.2706



On energetic grounds, version S is preferred over the next structure by 92 meV per atom.